A relaxed TbTm4Pd2 crystal, computed with GGA-PBE.

a = 6.306 Å, b = 7.779 Å, c = 8.006 Å
α = 112.59°, β = 90.00°, γ = 90.00°
Sites, in units of the cell vectors:
Tm1 0.003 0.593 0.231
Tm2 0.997 0.407 0.769
Tm3 0.750 0.752 0.652
Tm4 0.250 0.248 0.348
Tm5 0.250 0.979 0.607
Tm6 0.750 0.021 0.393
Tm7 0.503 0.407 0.769
Tm8 0.497 0.593 0.231
Pd1 0.750 0.382 0.420
Pd2 0.250 0.245 0.991
Pd3 0.750 0.755 0.009
Pd4 0.250 0.618 0.580
Tb1 0.250 0.846 0.977
Tb2 0.750 0.154 0.023

Calculated values
For the formation energy, the calculation gives -312 kJ/mol of formula units. Its space group is P2_1/m, No. 11. The distance to the lowest polymorph of the same formula is 0 meV per atom. The total DFT energy (no corrections) comes out at -72.27 eV per cell. The value obtained for the total magnetization is 0.00 μB per formula unit. The value obtained for the density of states at the Fermi level is 1.268 states/eV per atom.


A relaxed TbTmPd2 crystal, computed with GGA-PBE.

a = 4.947 Å, b = 4.947 Å, c = 4.947 Å
α = 60.00°, β = 60.00°, γ = 60.00°
Sites, in units of the cell vectors:
Tb1 0.000 0.000 0.000
Pd1 0.750 0.750 0.750
Pd2 0.250 0.250 0.250
Tm1 0.500 0.500 0.500

Calculated values
For the formation energy, the calculation gives -349 kJ/mol of formula units. Its space group is Fm-3m, No. 225. The distance to the lowest polymorph of the same formula is 25 meV per atom. The total DFT energy (no corrections) comes out at -23.10 eV per cell. The value obtained for the total magnetization is 0.00 μB per formula unit. The value obtained for the density of states at the Fermi level is 0.719 states/eV per atom.


- What is the distance to the lowest polymorph of the same formula in the second record?
  25 meV per atom


- What is the formula in the first record?
  TbTm4Pd2


- Which of these has the highest total DFT energy (no corrections)?
  TbTmPd2